## 1
# KMn (PBE-GGA, optimized geometry)
data_KMn
_symmetry_space_group_name_H-M 'F d d d'
_symmetry_Int_Tables_number 70
_cell_length_a 6.521
_cell_length_b 10.147
_cell_length_c 17.153
_cell_angle_alpha 90.00
_cell_angle_beta 90.00
_cell_angle_gamma 90.00
loop_
_symmetry_equiv_pos_as_xyz
'x,y,z'
'-x,-y,-z'
'-x+1/4,-y+1/4,z'
'x+1/4,y+1/4,-z'
'x,-y+1/4,-z+1/4'
'-x,y+1/4,z+1/4'
'-x+1/4,y,-z+1/4'
'x+1/4,-y,z+1/4'
'x,y+1/2,z+1/2'
'-x,-y+1/2,-z+1/2'
'-x+1/4,-y+3/4,z+1/2'
'x+1/4,y+3/4,-z+1/2'
'x,-y+3/4,-z+3/4'
'-x,y+3/4,z+3/4'
'-x+1/4,y+1/2,-z+3/4'
'x+1/4,-y+1/2,z+3/4'
'x+1/2,y,z+1/2'
'-x+1/2,-y,-z+1/2'
'-x+3/4,-y+1/4,z+1/2'
'x+3/4,y+1/4,-z+1/2'
'x+1/2,-y+1/4,-z+3/4'
'-x+1/2,y+1/4,z+3/4'
'-x+3/4,y,-z+3/4'
'x+3/4,-y,z+3/4'
'x+1/2,y+1/2,z'
'-x+1/2,-y+1/2,-z'
'-x+3/4,-y+3/4,z'
'x+3/4,y+3/4,-z'
'x+1/2,-y+3/4,-z+1/4'
'-x+1/2,y+3/4,z+1/4'
'-x+3/4,y+1/2,-z+1/4'
'x+3/4,-y+1/2,z+1/4'
loop_
_atom_site_label
_atom_site_fract_x
_atom_site_fract_y
_atom_site_fract_z
K1 0.125 0.291 0.125
Mn1 0.125 0.125 0.547
# total magnetic moment	4.326	μB/f.u.
# crystal system	orthorhombic


## 2
# KMn (PBE-GGA, optimized geometry)
data_KMn
_symmetry_space_group_name_H-M 'P m m n'
_symmetry_Int_Tables_number 59
_cell_length_a 4.015
_cell_length_b 16.820
_cell_length_c 6.284
_cell_angle_alpha 90.00
_cell_angle_beta 90.00
_cell_angle_gamma 90.00
loop_
_symmetry_equiv_pos_as_xyz
'x,y,z'
'-x,-y,-z'
'-x+1/2,-y+1/2,z'
'x+1/2,y+1/2,-z'
'x+1/2,-y,-z'
'-x+1/2,y,z'
'-x,y+1/2,-z'
'x,-y+1/2,z'
loop_
_atom_site_label
_atom_site_fract_x
_atom_site_fract_y
_atom_site_fract_z
K1 0.250 0.057 0.250
K2 0.250 0.750 0.742
Mn1 0.250 0.250 0.758
Mn2 0.250 0.669 0.243
# total magnetic moment	1.588	μB/f.u.
# crystal system	orthorhombic


Stability summary - winner: 2; margin: 297 meV/atom.


## 1
# CeI2Cl (PBE-GGA, optimized geometry)
data_CeI2Cl
_symmetry_space_group_name_H-M 'I m m 2'
_symmetry_Int_Tables_number 44
_cell_length_a 4.099
_cell_length_b 11.002
_cell_length_c 7.258
_cell_angle_alpha 90.00
_cell_angle_beta 90.00
_cell_angle_gamma 90.00
loop_
_symmetry_equiv_pos_as_xyz
'x,y,z'
'-x,-y,z'
'-x,y,z'
'x,-y,z'
'x+1/2,y+1/2,z+1/2'
'-x+1/2,-y+1/2,z+1/2'
'-x+1/2,y+1/2,z+1/2'
'x+1/2,-y+1/2,z+1/2'
loop_
_atom_site_label
_atom_site_fract_x
_atom_site_fract_y
_atom_site_fract_z
Ce1 0.000 0.000 0.000
I1 0.000 0.317 0.689
Cl1 0.000 0.500 0.242
# total magnetic moment	1.000	μB/f.u.
# crystal system	orthorhombic


## 2
# CeI2Cl (PBE-GGA, optimized geometry)
data_CeI2Cl
_symmetry_space_group_name_H-M 'P 1 21/m 1'
_symmetry_Int_Tables_number 11
_cell_length_a 4.251
_cell_length_b 9.896
_cell_length_c 7.815
_cell_angle_alpha 90.00
_cell_angle_beta 105.71
_cell_angle_gamma 90.00
loop_
_symmetry_equiv_pos_as_xyz
'x,y,z'
'-x,-y,-z'
'-x,y+1/2,-z'
'x,-y+1/2,z'
loop_
_atom_site_label
_atom_site_fract_x
_atom_site_fract_y
_atom_site_fract_z
Ce1 0.244 0.250 0.488
I1 0.145 0.561 0.289
Cl1 0.374 0.750 0.749
# total magnetic moment	1.000	μB/f.u.
# crystal system	monoclinic


Stability summary - winner: 2; margin: 51 meV/atom.


## 1
# MgRuPt (PBE-GGA, optimized geometry)
data_MgRuPt
_symmetry_space_group_name_H-M 'I m m 2'
_symmetry_Int_Tables_number 44
_cell_length_a 2.777
_cell_length_b 3.997
_cell_length_c 8.330
_cell_angle_alpha 90.00
_cell_angle_beta 90.00
_cell_angle_gamma 90.00
loop_
_symmetry_equiv_pos_as_xyz
'x,y,z'
'-x,-y,z'
'-x,y,z'
'x,-y,z'
'x+1/2,y+1/2,z+1/2'
'-x+1/2,-y+1/2,z+1/2'
'-x+1/2,y+1/2,z+1/2'
'x+1/2,-y+1/2,z+1/2'
loop_
_atom_site_label
_atom_site_fract_x
_atom_site_fract_y
_atom_site_fract_z
Mg1 0.000 0.000 0.000
Ru1 0.000 0.000 0.669
Pt1 0.000 0.000 0.334
# total magnetic moment	0.869	μB/f.u.
# crystal system	orthorhombic


## 2
# MgRuPt (PBE-GGA, optimized geometry)
data_MgRuPt
_symmetry_space_group_name_H-M 'F -4 3 m'
_symmetry_Int_Tables_number 216
_symmetry_space_group_name_Hall 'F -4 2 3'
_cell_length_a 6.086
_cell_length_b 6.086
_cell_length_c 6.086
_cell_angle_alpha 90.00
_cell_angle_beta 90.00
_cell_angle_gamma 90.00
loop_
_atom_site_label
_atom_site_fract_x
_atom_site_fract_y
_atom_site_fract_z
Mg1 0.000 0.000 0.000
Ru1 0.000 0.000 0.500
Pt1 0.250 0.250 0.250
# total magnetic moment	2.126	μB/f.u.
# crystal system	cubic


Stability summary - winner: 1; margin: 242 meV/atom.


## 1
# Ba5C (PBE-GGA, optimized geometry)
data_Ba5C
_symmetry_space_group_name_H-M 'C 1 m 1'
_symmetry_Int_Tables_number 8
_cell_length_a 14.633
_cell_length_b 3.981
_cell_length_c 10.774
_cell_angle_alpha 90.00
_cell_angle_beta 105.98
_cell_angle_gamma 90.00
loop_
_symmetry_equiv_pos_as_xyz
'x,y,z'
'x,-y,z'
'x+1/2,y+1/2,z'
'x+1/2,-y+1/2,z'
loop_
_atom_site_label
_atom_site_fract_x
_atom_site_fract_y
_atom_site_fract_z
Ba1 0.000 0.000 0.000
Ba2 0.067 0.500 0.396
Ba3 0.172 0.000 0.818
Ba4 0.251 0.000 0.165
Ba5 0.361 0.500 0.574
C1 0.140 0.500 0.997
# total magnetic moment	0.284	μB/f.u.
# crystal system	monoclinic


## 2
# Ba5C (PBE-GGA, optimized geometry)
data_Ba5C
_symmetry_space_group_name_H-M 'C m m m'
_symmetry_Int_Tables_number 65
_symmetry_space_group_name_Hall '-C 2 2'
_cell_length_a 3.916
_cell_length_b 29.261
_cell_length_c 5.142
_cell_angle_alpha 90.00
_cell_angle_beta 90.00
_cell_angle_gamma 90.00
loop_
_atom_site_label
_atom_site_fract_x
_atom_site_fract_y
_atom_site_fract_z
Ba1 0.000 0.000 0.000
Ba2 0.000 0.075 0.500
Ba3 0.000 0.316 0.000
C1 0.000 0.500 0.500
# total magnetic moment	0.356	μB/f.u.
# crystal system	orthorhombic


Stability summary - winner: 1; margin: 178 meV/atom.